[1]
A relaxed TaSbP2 crystal, computed with PBE.

```
TaSbP2
1.0
-6.517 -2.403 5.212
-7.747 -3.169 2.312
-5.768 -5.240 3.831
Ta Sb P
1 1 2
Cartesian
-15.024 -8.109 8.516
-5.008 -2.703 2.839
-0.321 -0.173 0.182
-9.695 -5.233 5.496
```

Results
Spin magnetization, μB per formula unit: 0.00
Energy relative to the elements, uncorrected, eV/atom: -0.09

***

[2]
A relaxed K4Pu3O10 crystal, computed with PBE.

```
K4Pu3O10
1.0
4.253 0.000 -0.577
-0.078 4.252 -0.577
-0.052 -0.053 15.564
Pu O K
3 10 4
Cartesian
0.000 0.000 0.000
0.569 0.580 4.190
3.553 3.619 10.219
3.827 3.898 12.233
-0.039 2.126 -0.289
0.296 0.301 2.177
3.293 3.354 8.303
3.595 1.496 10.525
0.528 2.703 3.885
0.829 0.845 6.106
2.693 0.577 3.885
2.126 0.000 -0.289
1.429 3.622 10.525
2.928 2.983 5.616
1.747 1.779 12.863
1.194 1.216 8.793
2.376 2.420 1.547
```

Results
Spin magnetization, μB per formula unit: 8.00
Energy relative to the elements, uncorrected, eV/atom: -2.47

***

[3]
A relaxed BeInAs2Ru crystal, computed with PBE.

```
BeInAs2Ru
1.0
4.708 0.000 0.000
0.000 5.250 0.000
0.000 0.000 4.708
Be Ru As In
1 1 2 1
Cartesian
2.354 2.625 2.354
0.000 0.000 0.000
0.000 0.000 2.354
2.354 0.000 0.000
0.000 2.625 0.000
```

Results
Spin magnetization, μB per formula unit: 0.00
Energy, eV/atom: -4.256

***

[4]
A relaxed BaScSe2N crystal, computed with PBE.

```
BaScSe2N
1.0
5.381 0.000 0.000
0.000 5.381 0.000
0.000 0.000 4.322
N Se Sc Ba
1 2 1 1
Cartesian
0.000 0.000 2.161
0.000 2.691 0.000
2.691 0.000 0.000
0.000 0.000 0.000
2.691 2.691 2.161
```

Results
Spin magnetization, μB per formula unit: 1.96
Energy relative to the elements, uncorrected, eV/atom: -1.04

***

[5]
A relaxed Cs3Hg2Au5 crystal, computed with PBE.

```
Cs3Hg2Au5
1.0
7.700 0.000 0.000
3.850 9.350 0.034
3.850 2.514 9.005
Au Cs Hg
10 6 4
Cartesian
5.775 8.891 6.775
9.625 2.972 2.265
9.625 5.932 4.520
7.700 8.020 4.820
11.550 6.776 6.453
5.775 5.932 4.520
7.700 3.844 4.219
9.625 8.891 6.775
3.850 5.088 2.586
5.775 2.972 2.265
7.700 5.788 7.596
5.775 0.000 0.000
7.700 6.076 1.444
3.850 3.004 5.475
11.550 8.859 3.564
1.925 0.000 0.000
7.700 1.727 6.166
3.850 6.403 0.029
7.700 10.136 2.873
11.550 5.460 9.010
```

Results
Spin magnetization, μB per formula unit: 0.00
Energy, eV/atom: -2.067

***

[6]
A relaxed TbCeTlPt crystal, computed with PBE.

```
TbCeTlPt
1.0
5.230 0.000 0.000
2.615 4.529 0.000
2.615 1.510 4.270
Tb Ce Pt Tl
1 1 1 1
Cartesian
0.000 0.000 0.000
5.230 3.019 2.135
7.845 4.529 3.203
2.615 1.510 1.068
```

Results
Spin magnetization, μB per formula unit: 0.67
Energy, eV/atom: -5.313

***

[7]
A relaxed Nd2Sn4Pd3Rh crystal, computed with PBE.

```
Nd2Sn4Pd3Rh
1.0
4.525 0.000 0.000
0.000 4.525 0.000
0.000 0.000 10.937
Nd Pd Rh Sn
2 3 1 4
Cartesian
2.262 0.000 2.822
0.000 2.262 8.114
0.000 2.262 1.479
0.000 0.000 5.468
2.262 0.000 9.458
2.262 2.262 5.468
0.000 2.262 4.078
0.000 0.000 0.000
2.262 0.000 6.859
2.262 2.262 0.000
```

Results
Spin magnetization, μB per formula unit: 0.00
Energy, eV/atom: -5.590

***

[8]
A relaxed ZrAgIO2 crystal, computed with PBE.

```
ZrAgIO2
1.0
-1.644 -0.646 3.720
-1.655 -3.523 -1.344
5.167 -3.094 1.746
O I Ag Zr
2 1 1 1
Cartesian
-0.822 -0.323 1.860
-0.828 -1.761 -0.672
2.583 -1.547 0.873
0.934 -3.632 2.061
0.000 0.000 0.000
```

Results
Spin magnetization, μB per formula unit: 0.00
Energy relative to the elements, uncorrected, eV/atom: -1.51

***

[9]
A relaxed Ca8PtRh2 crystal, computed with PBE.

```
Ca8PtRh2
1.0
-5.773 -1.986 0.717
3.950 -5.999 2.968
-0.010 6.153 4.747
Rh Ca Pt
2 8 1
Cartesian
-1.598 1.346 4.631
-0.127 -3.168 3.970
-4.833 1.615 5.037
-2.563 -5.351 4.017
-2.047 -1.480 5.551
0.441 1.015 6.655
1.508 -2.259 6.176
-2.988 0.515 2.260
-1.936 -2.712 1.787
0.354 -0.317 2.949
2.925 -0.192 7.819
```

Results
Spin magnetization, μB per formula unit: 0.00
Energy, eV/atom: -3.731

***

[10]
A relaxed Tc2AsAu crystal, computed with PBE.

```
Tc2AsAu
1.0
4.316 0.000 0.000
0.000 2.939 -0.001
0.000 1.472 5.063
Tc As Au
2 1 1
Cartesian
0.000 0.185 0.203
2.158 1.652 1.273
0.000 1.653 2.389
2.158 3.127 3.726
```

Results
Spin magnetization, μB per formula unit: 0.00
Energy, eV/atom: -6.922

***

[11]
A relaxed Dy7Y3Er crystal, computed with PBE.

```
Dy7Y3Er
1.0
-3.699 -2.637 -3.136
5.087 2.524 -8.128
5.905 -3.492 5.692
Dy Y Er
7 3 1
Cartesian
4.762 -1.899 0.840
1.060 -0.111 -1.157
0.378 -1.523 -4.024
6.233 -3.494 -4.414
6.915 -2.082 -1.548
2.532 -1.706 -6.412
1.103 -3.065 1.278
3.580 -3.460 3.550
2.544 1.262 -4.064
3.713 -0.144 -9.121
3.647 -1.802 -2.786
```

Results
Spin magnetization, μB per formula unit: 0.00
Energy, eV/atom: -4.955

***

[12]
A relaxed TcPW2 crystal, computed with PBE.

```
TcPW2
1.0
8.340 -1.442 -0.003
8.340 1.442 -0.003
8.092 0.000 2.482
W P Tc
2 1 1
Cartesian
18.789 0.000 1.878
24.721 0.000 2.471
12.421 0.000 1.242
6.000 0.000 0.600
```

Results
Spin magnetization, μB per formula unit: 0.00
Energy, eV/atom: -10.269

***

- Number 12 is which compound?
  TcPW2

***

- Number 1 is which compound?
  TaSbP2

***

- Which formula does entry 1 have?
  TaSbP2

***

- Which of these has the highest spin magnetization?
  K4Pu3O10